No. 1
CaV | PBE | relaxed Values from VASP.

Computed properties:
As for the electronic total energy: -4.54 eV per atom. Its calculated volume is 29.4 Å³/atom. As for the space group: No. 136. For the excess energy over the best structure of this formula in the dataset, the calculation gives 508 meV per atom. As for the formation energy: 1.0181 eV/atom.

```
&SYSTEM
  ibrav = 0, nat = 8, ntyp = 2
/
ATOMIC_SPECIES
V 50.94 V.upf
Ca 40.08 Ca.upf
ATOMIC_POSITIONS angstrom
V 0.6538 5.5374 3.0646
V 3.7495 3.7495 0.0000
V 5.5374 0.6538 3.0646
V 2.4418 2.4418 0.0000
Ca 1.0783 5.1129 0.0000
Ca 4.1739 4.1739 3.0646
Ca 2.0173 2.0173 3.0646
Ca 5.1129 1.0783 0.0000
CELL_PARAMETERS angstrom
6.1912 0.0000 0.0000
0.0000 6.1912 0.0000
0.0000 0.0000 6.1292
```

=====

No. 2
Ca4V | PBE | relaxed Values from VASP.

Computed properties:
As for the electronic total energy: -2.89 eV per atom. Its calculated volume is 41.0 Å³/atom. As for the space group: No. 221. As for the formation energy: 0.5306 eV/atom.

```
&SYSTEM
  ibrav = 0, nat = 5, ntyp = 2
/
ATOMIC_SPECIES
Ca 40.08 Ca.upf
V 50.94 V.upf
ATOMIC_POSITIONS angstrom
Ca 0.0000 2.9475 2.9475
Ca 0.0000 0.0000 0.0000
Ca 2.9475 2.9475 0.0000
Ca 2.9475 0.0000 2.9475
V 2.9475 2.9475 2.9475
CELL_PARAMETERS angstrom
5.8950 0.0000 0.0000
0.0000 5.8950 0.0000
0.0000 0.0000 5.8950
```

=====

No. 3
CaV | PBE | relaxed Values from VASP.

Computed properties:
As for the electronic total energy: -3.89 eV per atom. Its calculated volume is 39.8 Å³/atom. As for the space group: No. 194. For the excess energy over the best structure of this formula in the dataset, the calculation gives 1164 meV per atom. As for the formation energy: 1.6740 eV/atom.

```
&SYSTEM
  ibrav = 0, nat = 4, ntyp = 2
/
ATOMIC_SPECIES
V 50.94 V.upf
Ca 40.08 Ca.upf
ATOMIC_POSITIONS angstrom
V 0.0000 3.1214 4.7195
V 2.7032 1.5607 1.5732
Ca 2.7032 1.5607 4.7195
Ca 0.0000 3.1214 1.5732
CELL_PARAMETERS angstrom
5.4065 0.0000 0.0000
-2.7032 4.6821 0.0000
0.0000 0.0000 6.2927
```

=====

No. 4
CaV | PBE | relaxed Values from VASP.

Computed properties:
As for the electronic total energy: -4.99 eV per atom. Its calculated volume is 25.7 Å³/atom. As for the space group: No. 19. For the excess energy over the best structure of this formula in the dataset, the calculation gives 62 meV per atom. As for the formation energy: 0.5720 eV/atom.

```
&SYSTEM
  ibrav = 0, nat = 16, ntyp = 2
/
ATOMIC_SPECIES
Ca 40.08 Ca.upf
V 50.94 V.upf
ATOMIC_POSITIONS angstrom
Ca 1.6108 4.2946 11.2735
Ca 4.7795 4.3221 0.0049
Ca 3.2337 1.4577 1.9451
Ca 6.2724 4.2868 7.5843
Ca 1.5579 1.4499 5.6343
Ca 4.7266 1.4224 5.6441
Ca 0.0650 1.4145 9.3334
Ca 3.1037 4.3300 3.6941
V 6.2693 4.2193 4.4782
V 3.1923 2.6838 8.5979
V 3.1451 5.5561 8.3197
V 0.0236 0.1884 2.6805
V 3.2368 1.5252 10.1175
V 0.0681 1.3471 1.1610
V 6.3138 3.0607 2.9587
V 3.1006 4.3974 6.8002
CELL_PARAMETERS angstrom
6.3374 0.0000 0.0000
0.0000 5.7445 0.0000
0.0000 0.0000 11.2784
```

=====

No. 5
CaV | PBE | relaxed Values from VASP.

Computed properties:
As for the electronic total energy: -3.54 eV per atom. Its calculated volume is 56.0 Å³/atom. As for the space group: No. 223. For the excess energy over the best structure of this formula in the dataset, the calculation gives 1515 meV per atom. As for the formation energy: 2.0248 eV/atom.

```
&SYSTEM
  ibrav = 0, nat = 12, ntyp = 2
/
ATOMIC_SPECIES
Ca 40.08 Ca.upf
V 50.94 V.upf
ATOMIC_POSITIONS angstrom
Ca 6.5700 0.0000 4.3800
Ca 2.1900 0.0000 4.3800
Ca 0.0000 4.3800 2.1900
Ca 4.3800 2.1900 0.0000
Ca 4.3800 6.5700 0.0000
Ca 0.0000 4.3800 6.5700
V 0.0000 2.1900 4.3800
V 4.3800 0.0000 6.5700
V 0.0000 6.5700 4.3800
V 6.5700 4.3800 0.0000
V 2.1900 4.3800 0.0000
V 4.3800 0.0000 2.1900
CELL_PARAMETERS angstrom
8.7600 0.0000 0.0000
0.0000 8.7600 0.0000
0.0000 0.0000 8.7600
```

=====

No. 6
CaV | PBE | relaxed Values from VASP.

Computed properties:
As for the electronic total energy: -4.94 eV per atom. Its calculated volume is 25.4 Å³/atom. As for the space group: No. 70. For the excess energy over the best structure of this formula in the dataset, the calculation gives 105 meV per atom. As for the formation energy: 0.6154 eV/atom.

```
&SYSTEM
  ibrav = 0, nat = 32, ntyp = 2
/
ATOMIC_SPECIES
V 50.94 V.upf
Ca 40.08 Ca.upf
ATOMIC_POSITIONS angstrom
V 2.9000 0.9290 4.8357
V 0.0000 8.1745 4.8357
V 1.4500 11.7972 2.4178
V 1.4500 4.5517 7.2535
V 1.4500 9.9392 2.4178
V 4.3500 4.5517 2.4178
V 2.9000 8.1745 0.0000
V 4.3500 9.9392 7.2535
V 2.9000 13.5619 4.8357
V 4.3500 2.6937 2.4178
V 0.0000 0.9290 0.0000
V 1.4500 2.6937 7.2535
V 0.0000 13.5619 0.0000
V 0.0000 6.3165 4.8357
V 2.9000 6.3165 0.0000
V 4.3500 11.7972 7.2535
Ca 2.9000 7.2455 3.2168
Ca 2.9000 7.2455 6.4545
Ca 0.0000 7.2455 8.0525
Ca 4.3500 10.8682 0.7990
Ca 1.4500 3.6227 4.0366
Ca 1.4500 3.6227 0.7990
Ca 0.0000 0.0000 6.4545
Ca 4.3500 10.8682 4.0366
Ca 0.0000 7.2455 1.6188
Ca 2.9000 0.0000 8.0525
Ca 1.4500 10.8682 8.8723
Ca 4.3500 3.6227 8.8723
Ca 4.3500 3.6227 5.6347
Ca 2.9000 0.0000 1.6188
Ca 1.4500 10.8682 5.6347
Ca 0.0000 0.0000 3.2168
CELL_PARAMETERS angstrom
5.8000 0.0000 0.0000
0.0000 14.4909 0.0000
0.0000 0.0000 9.6713
```

=====

No. 7
CaV | PBE | relaxed Values from VASP.

Computed properties:
As for the electronic total energy: -4.17 eV per atom. Its calculated volume is 29.5 Å³/atom. As for the space group: No. 225. For the excess energy over the best structure of this formula in the dataset, the calculation gives 876 meV per atom. As for the formation energy: 1.3866 eV/atom.

```
&SYSTEM
  ibrav = 0, nat = 8, ntyp = 2
/
ATOMIC_SPECIES
Ca 40.08 Ca.upf
V 50.94 V.upf
ATOMIC_POSITIONS angstrom
Ca 0.0000 3.0882 3.0882
Ca 3.0882 3.0882 0.0000
Ca 0.0000 0.0000 0.0000
Ca 3.0882 0.0000 3.0882
V 3.0882 3.0882 3.0882
V 0.0000 3.0882 0.0000
V 0.0000 0.0000 3.0882
V 3.0882 0.0000 0.0000
CELL_PARAMETERS angstrom
6.1765 0.0000 0.0000
0.0000 6.1765 0.0000
0.0000 0.0000 6.1765
```

=====

No. 8
CaV | PBE | relaxed Values from VASP.

Computed properties:
As for the electronic total energy: -4.92 eV per atom. Its calculated volume is 26.6 Å³/atom. As for the space group: No. 71. For the excess energy over the best structure of this formula in the dataset, the calculation gives 134 meV per atom. As for the formation energy: 0.6438 eV/atom.

```
&SYSTEM
  ibrav = 0, nat = 12, ntyp = 2
/
ATOMIC_SPECIES
V 50.94 V.upf
Ca 40.08 Ca.upf
ATOMIC_POSITIONS angstrom
V 2.6388 -7.4010 5.2878
V 0.0845 -0.7898 1.0235
V -0.5477 -1.4915 -1.1057
V 2.4697 -5.8215 3.2408
V 0.9029 -8.4344 10.9307
V 3.1019 -5.1197 5.3700
Ca 0.3100 -2.8964 3.7536
Ca 2.2442 -3.7149 0.5107
Ca 2.6082 -0.5076 -0.6071
Ca 2.8643 -9.5076 8.0179
Ca -0.0540 -6.1036 4.8714
Ca 0.6774 -6.3278 8.2006
CELL_PARAMETERS angstrom
-1.0954 -2.9830 -2.2113
5.2164 -1.0153 -1.2143
0.9874 -9.2242 11.9542
```

=====

No. 9
CaV | PBE | relaxed Values from VASP.

Computed properties:
As for the electronic total energy: -5.00 eV per atom. Its calculated volume is 26.3 Å³/atom. As for the space group: No. 44. For the excess energy over the best structure of this formula in the dataset, the calculation gives 52 meV per atom. As for the formation energy: 0.5625 eV/atom.

```
&SYSTEM
  ibrav = 0, nat = 12, ntyp = 2
/
ATOMIC_SPECIES
V 50.94 V.upf
Ca 40.08 Ca.upf
ATOMIC_POSITIONS angstrom
V 6.4491 0.0000 0.7864
V 7.5307 1.6552 6.7289
V 11.8165 0.0000 3.0332
V 0.0000 1.6552 4.4821
V 1.0817 0.0000 3.0332
V 5.3674 1.6552 6.7289
Ca 6.4491 0.0000 4.1443
Ca 0.0000 1.6552 0.4486
Ca 9.2236 1.6552 1.9002
Ca 3.6745 1.6552 1.9002
Ca 2.7746 0.0000 5.5959
Ca 10.1236 0.0000 5.5959
CELL_PARAMETERS angstrom
12.8981 0.0000 0.0000
0.0000 3.3103 0.0000
0.0000 0.0000 7.3914
```

=====

No. 10
Ca2VW | PBE | relaxed Values from VASP.

Computed properties:
As for the electronic total energy: -5.19 eV per atom. Its calculated volume is 23.9 Å³/atom. As for the space group: No. 225. For the excess energy over the best structure of this formula in the dataset, the calculation gives 0 meV per atom. As for the formation energy: 1.3242 eV/atom.

```
&SYSTEM
  ibrav = 0, nat = 4, ntyp = 3
/
ATOMIC_SPECIES
V 50.94 V.upf
W 183.84 W.upf
Ca 40.08 Ca.upf
ATOMIC_POSITIONS angstrom
V 0.0000 0.0000 0.0000
W -4.2939 0.9951 4.4766
Ca -2.1470 0.4975 2.2383
Ca -6.4409 1.4926 6.7149
CELL_PARAMETERS angstrom
-3.6839 -2.1777 2.8281
-0.7202 1.4846 4.8569
-4.1838 2.6833 1.2682
```

=====

No. 11
Ca2VW | PBE | relaxed Values from VASP.

Computed properties:
As for the electronic total energy: -5.10 eV per atom. Its calculated volume is 23.9 Å³/atom. As for the space group: No. 122. For the excess energy over the best structure of this formula in the dataset, the calculation gives 95 meV per atom. As for the formation energy: 1.4187 eV/atom.

```
&SYSTEM
  ibrav = 0, nat = 8, ntyp = 3
/
ATOMIC_SPECIES
Ca 40.08 Ca.upf
V 50.94 V.upf
W 183.84 W.upf
ATOMIC_POSITIONS angstrom
Ca 5.4122 -5.6922 4.4338
Ca 8.2929 -10.2190 6.4017
Ca 1.0938 -4.8280 4.1676
Ca 5.4775 -3.5290 0.7386
V 3.0044 -4.5798 1.9415
V 7.2726 -5.3676 2.1753
W 2.8656 -6.7664 5.6955
W 0.0000 0.0000 0.0000
CELL_PARAMETERS angstrom
-1.4027 -5.9786 5.4617
7.4115 -3.1811 -1.5787
4.1294 -2.9744 3.9878
```

=====

No. 12
CaVW2 | PBE | relaxed Values from VASP.

Computed properties:
As for the electronic total energy: -7.75 eV per atom. Its calculated volume is 25.6 Å³/atom. As for the space group: No. 122. For the excess energy over the best structure of this formula in the dataset, the calculation gives 509 meV per atom. As for the formation energy: 1.5038 eV/atom.

```
&SYSTEM
  ibrav = 0, nat = 8, ntyp = 3
/
ATOMIC_SPECIES
W 183.84 W.upf
V 50.94 V.upf
Ca 40.08 Ca.upf
ATOMIC_POSITIONS angstrom
W -2.4033 1.5964 7.2873
W -4.2568 1.1932 3.0622
W -4.9132 -0.8456 4.2563
W -4.6904 2.4556 7.4970
V 0.0000 0.0000 0.0000
V -4.0659 1.0999 5.5257
Ca -2.7770 -1.4254 1.4796
Ca -2.1889 -1.6716 6.3788
CELL_PARAMETERS angstrom
-4.6541 1.3462 0.6264
-0.9000 -4.1969 2.3327
-0.7007 2.2790 8.9454
```